# 1
This record from the Alexandria database describes a geometry-optimized RbPtSeN2 structure. The functional is GGA-PBEsol.

```
5
Lattice="4.138 0.000 0.000 0.000 4.138 0.000 0.000 0.000 6.252" Properties=species:S:1:pos:R:3 pbc="T T T"
Se 0.000 0.000 3.126
Rb 0.000 0.000 0.000
Pt 2.069 2.069 3.126
N 0.000 2.069 0.000
N 2.069 0.000 0.000
```

Output
- V (Å³/atom) = 21.41
- total energy (eV/atom) = -2.925
- raw formation energy (eV per atom) = 2.853

# 2
This record from the Alexandria database describes a geometry-optimized RbTePtN2 structure. The functional is GGA-PBEsol.

```
5
Lattice="4.667 0.000 0.000 0.000 4.667 0.000 0.000 0.000 6.938" Properties=species:S:1:pos:R:3 pbc="T T T"
Te 0.000 0.000 3.469
Rb 0.000 0.000 0.000
Pt 2.334 2.334 3.469
N 0.000 2.334 0.000
N 2.334 0.000 0.000
```

Output
- V (Å³/atom) = 30.22
- total energy (eV/atom) = -2.988
- raw formation energy (eV per atom) = 2.726

# 3
This record from the Alexandria database describes a geometry-optimized ReSnPt2N structure. The functional is GGA-PBEsol.

```
5
Lattice="4.916 0.000 0.000 0.000 4.916 0.000 0.000 0.000 5.059" Properties=species:S:1:pos:R:3 pbc="T T T"
Re 0.000 0.000 2.530
Sn 0.000 0.000 0.000
Pt 0.000 2.458 0.000
Pt 2.458 0.000 0.000
N 2.458 2.458 2.530
```

Output
- V (Å³/atom) = 24.45
- total energy (eV/atom) = -5.114
- raw formation energy (eV per atom) = 2.895

# 4
This record from the Alexandria database describes a geometry-optimized PtRhN2 structure. The functional is GGA-PBEsol.

```
4
Lattice="-2.298 1.443 -0.988 -2.029 -1.383 -1.520 -4.496 -1.257 4.399" Properties=species:S:1:pos:R:3 pbc="T T T"
Rh -4.411 -0.598 0.945
Pt 0.000 0.000 0.000
N -5.282 -0.339 -0.870
N -3.540 -0.857 2.761
```

Output
- V (Å³/atom) = 11.18
- total energy (eV/atom) = -7.627
- raw formation energy (eV per atom) = 0.411

# 5
This record from the Alexandria database describes a geometry-optimized Pt2RhN2 structure. The functional is GGA-PBEsol.

```
5
Lattice="4.336 0.096 0.000 -1.329 4.129 0.000 -1.504 -2.112 3.477" Properties=species:S:1:pos:R:3 pbc="T T T"
Rh 0.000 0.000 0.000
Pt -0.664 2.064 1.739
Pt 2.168 0.048 1.739
N 1.156 1.624 0.000
N 1.852 2.601 0.000
```

Output
- V (Å³/atom) = 12.54
- total energy (eV/atom) = -6.900
- raw formation energy (eV per atom) = 0.924

# 6
This record from the Alexandria database describes a geometry-optimized PtRhS2N structure. The functional is GGA-PBEsol.

```
5
Lattice="3.520 0.000 0.000 0.000 4.703 0.000 0.000 0.000 4.703" Properties=species:S:1:pos:R:3 pbc="T T T"
S 0.000 0.000 2.351
S 0.000 2.351 0.000
Rh 0.000 0.000 0.000
Pt 1.760 2.351 2.351
N 1.760 0.000 0.000
```

Output
- V (Å³/atom) = 15.57
- total energy (eV/atom) = -5.708
- raw formation energy (eV per atom) = 0.772